(1)
ZnCuO2 | Alexandria via LeMat-Bulk | GGA-PBE | optimized geometry; total moment = 0.861 μB/f.u.; SG = P-1; uncorrected energy = -0.3388 Ry/atom; E_form (uncorrected) = -76 kJ per mole of atoms
1.0
-0.5657 2.1967 1.7833
-7.2442 -3.9774 0.2421
3.1868 -5.5031 5.4641
Zn Cu O
4 4 8
direct
0.6933 0.7764 0.6069
0.9196 0.5859 0.2542
0.3067 0.2236 0.3931
0.0804 0.4141 0.7458
0.6838 0.3003 0.0715
0.0987 0.9103 0.2925
0.3162 0.6997 0.9285
0.9013 0.0897 0.7075
0.6803 0.0795 0.2857
0.9108 0.7448 0.0731
0.0892 0.2552 0.9269
0.4429 0.2600 0.6254
0.3150 0.4010 0.2320
0.6850 0.5990 0.7680
0.5571 0.7400 0.3746
0.3197 0.9205 0.7143



(2)
HgBi3Au3 | Alexandria via LeMat-Bulk | GGA-PBE | optimized geometry; total moment = 0.000 μB/f.u.; SG = R-3; uncorrected energy = -0.2243 Ry/atom; energy relative to the elements = 0.416 eV per formula unit
1.0
7.3012 0.4815 3.0703
2.2161 6.9734 3.0703
0.6147 0.4815 7.8966
Hg Au Bi
2 6 6
direct
0.6651 0.6651 0.6651
0.3349 0.3349 0.3349
0.6501 0.2583 0.9532
0.9532 0.6501 0.2583
0.7417 0.0468 0.3499
0.2583 0.9532 0.6501
0.3499 0.7417 0.0468
0.0468 0.3499 0.7417
0.2204 0.5435 0.8869
0.8869 0.2204 0.5435
0.1131 0.7796 0.4565
0.5435 0.8869 0.2204
0.4565 0.1131 0.7796
0.7796 0.4565 0.1131



(3)
Zr2CuB | Alexandria via LeMat-Bulk | GGA-PBE | optimized geometry; total moment = 0.000 μB/f.u.; SG = I-42d; uncorrected energy = -0.5002 Ry/atom; energy relative to the elements = 0.647 eV per formula unit
1.0
-1.3338 -6.2508 1.7975
4.3975 0.4853 4.9507
-0.7825 -1.8275 5.3264
Zr B Cu
4 2 2
direct
0.8750 0.8350 0.7500
0.5850 0.1250 0.2500
0.3750 0.4150 0.7500
0.1650 0.6250 0.2500
0.5000 0.5000 0.0000
0.2500 0.7500 0.5000
0.0000 0.0000 0.0000
0.7500 0.2500 0.5000



(4)
K3SrGa | Alexandria via LeMat-Bulk | GGA-PBE | optimized geometry; total moment = 0.000 μB/f.u.; SG = Pm-3m; uncorrected energy = -0.0996 Ry/atom; energy relative to the elements = 1.223 eV per formula unit
1.0
-0.2030 -3.3384 5.7607
-0.9880 -5.6845 -3.3290
6.5844 -0.9558 -0.3219
K Ga Sr
3 1 1
direct
0.0000 0.0000 0.5000
0.5000 0.0000 0.0000
0.0000 0.5000 0.0000
0.0000 0.0000 0.0000
0.5000 0.5000 0.5000



(5)
LaPr2Th | Alexandria via LeMat-Bulk | GGA-PBE | optimized geometry; total moment = 0.004 μB/f.u.; SG = Fm-3m; uncorrected energy = -0.3890 Ry/atom; energy relative to the elements = 0.736 eV per formula unit
1.0
-5.2284 0.7273 2.5249
-4.8213 -2.0373 -2.6163
-2.8277 -4.6020 2.2507
Th Pr La
1 2 1
direct
0.0000 0.0000 0.0000
0.7500 0.7500 0.7500
0.2500 0.2500 0.2500
0.5000 0.5000 0.5000



(6)
Tl3Re | Alexandria via LeMat-Bulk | GGA-PBE | optimized geometry; total moment = 1.551 μB/f.u.; SG = Pm-3n; uncorrected energy = -0.2778 Ry/atom; energy relative to the elements = 4.430 eV per formula unit
1.0
-1.2105 -4.6018 3.1409
-2.9209 -2.2129 -4.3679
4.7445 -2.5365 -1.8877
Tl Re
6 2
direct
0.5000 0.0000 0.2500
0.2500 0.5000 0.0000
0.0000 0.2500 0.5000
0.7500 0.5000 0.0000
0.5000 0.0000 0.7500
0.0000 0.7500 0.5000
0.0000 0.0000 0.0000
0.5000 0.5000 0.5000



(7)
Mg3P5 | Alexandria via LeMat-Bulk | GGA-PBE | optimized geometry; total moment = 0.000 μB/f.u.; SG = P1; uncorrected energy = -0.3079 Ry/atom; energy relative to the elements = -1.682 eV per formula unit
1.0
-4.5127 4.6884 4.1966
-0.8834 -1.6215 -8.5424
-0.9248 -6.1441 3.4209
Mg P
6 10
direct
0.0439 0.4553 0.7947
0.4000 0.7186 0.4998
0.3254 0.1560 0.5000
0.7491 0.1606 0.2055
0.3214 0.3798 0.0316
0.7893 0.8484 0.9687
0.2762 0.8837 0.1013
0.6750 0.2822 0.8985
0.4764 0.7806 0.1714
0.1288 0.8038 0.5000
0.8051 0.1092 0.8286
0.0186 0.7641 0.7656
0.3505 0.4760 0.6936
0.7531 0.4982 0.2341
0.7233 0.4006 0.4999
0.1571 0.2828 0.3066



(8)
V2CdSe | Alexandria via LeMat-Bulk | GGA-PBE | optimized geometry; total moment = 0.000 μB/f.u.; SG = I-42d; uncorrected energy = -0.3793 Ry/atom; E_form (uncorrected) = 48 kJ per mole of atoms
1.0
4.1852 0.0000 0.0000
0.0000 4.1852 0.0000
2.0926 2.0926 8.9338
V Se Cd
4 2 2
direct
0.2712 0.6250 0.2500
0.4788 0.1250 0.2500
0.8750 0.7288 0.7500
0.3750 0.5212 0.7500
0.5000 0.5000 0.0000
0.2500 0.7500 0.5000
0.0000 0.0000 0.0000
0.7500 0.2500 0.5000



(9)
LaZnOs3 | Alexandria via LeMat-Bulk | GGA-PBE | optimized geometry; total moment = 0.782 μB/f.u.; SG = Pm-3m; uncorrected energy = -0.3764 Ry/atom; energy relative to the elements = 14.282 eV per formula unit
1.0
-1.1200 -2.3570 -4.1060
1.2010 -4.2227 2.0965
-4.5796 -0.5310 1.5539
Os Zn La
3 1 1
direct
0.0000 0.0000 0.5000
0.5000 0.0000 0.0000
0.0000 0.5000 0.0000
0.5000 0.5000 0.5000
0.0000 0.0000 0.0000



(10)
TlPtW2 | Alexandria via LeMat-Bulk | GGA-PBE | optimized geometry; total moment = 0.000 μB/f.u.; SG = I-4m2; uncorrected energy = -0.5887 Ry/atom; energy relative to the elements = 2.277 eV per formula unit
1.0
4.9991 -0.0142 0.0000
1.6204 4.7292 0.0000
-3.3097 -2.3575 2.9118
Pt Tl W
1 1 2
direct
0.5000 0.5000 0.0000
0.7500 0.2500 0.5000
0.2500 0.7500 0.5000
0.0000 0.0000 0.0000



(11)
Al2CoIr | Alexandria via LeMat-Bulk | GGA-PBE | optimized geometry; total moment = 1.143 μB/f.u.; SG = I-4m2; uncorrected energy = -0.4688 Ry/atom; energy relative to the elements = -2.063 eV per formula unit
1.0
4.8214 0.0144 0.0000
2.1123 4.3341 0.0000
-3.4669 -2.1742 2.5495
Al Co Ir
2 1 1
direct
0.0000 0.0000 0.0000
0.2500 0.7500 0.5000
0.5000 0.5000 0.0000
0.7500 0.2500 0.5000



(12)
VCrAs3 | Alexandria via LeMat-Bulk | GGA-PBE | optimized geometry; total moment = 1.385 μB/f.u.; SG = Pnma; uncorrected energy = -0.4863 Ry/atom; energy relative to the elements = -0.394 eV per formula unit
1.0
6.4362 0.0000 0.0000
0.0000 6.3183 0.0000
0.0000 0.0000 8.5192
V As Cr
4 12 4
direct
0.0000 0.5000 0.0000
0.5000 0.0000 0.5000
0.5000 0.0000 0.0000
0.0000 0.5000 0.5000
0.8402 0.8428 0.9108
0.3402 0.6572 0.0892
0.3126 0.0050 0.7500
0.8402 0.8428 0.5892
0.6874 0.9950 0.2500
0.1598 0.1572 0.4108
0.3402 0.6572 0.4108
0.6598 0.3428 0.9108
0.6598 0.3428 0.5892
0.1874 0.5050 0.7500
0.8126 0.4950 0.2500
0.1598 0.1572 0.0892
0.4643 0.3300 0.2500
0.5357 0.6700 0.7500
0.9643 0.1700 0.7500
0.0357 0.8300 0.2500